# Ca2LaZn2, relaxed, DFT GGA-PBEsol
# DFT formation energy: -0.156 eV per atom
# space-group type: No. 127
data_Ca2LaZn2
_space_group_name_H-M_alt 'P 1'
_space_group_IT_number 1
_space_group_name_Hall 'P 1'
_cell_length_a 4.906
_cell_length_b 7.491
_cell_length_c 7.491
_cell_angle_alpha 90.00
_cell_angle_beta 90.00
_cell_angle_gamma 90.00
loop_
_atom_site_label
_atom_site_type_symbol
_atom_site_fract_x
_atom_site_fract_y
_atom_site_fract_z
Zn1 Zn 0.000 0.384 0.884
Zn2 Zn 0.000 0.884 0.616
Zn3 Zn 0.000 0.616 0.116
Zn4 Zn 0.000 0.116 0.384
Ca1 Ca 0.500 0.171 0.671
Ca2 Ca 0.500 0.671 0.829
Ca3 Ca 0.500 0.829 0.329
Ca4 Ca 0.500 0.329 0.171
La1 La 0.000 0.000 0.000
La2 La 0.000 0.500 0.500

***

# Sc2TlCl, relaxed, DFT GGA-PBEsol
# excess energy over the best structure of this formula in the dataset: 292.4 meV per atom
# formation energy without anion corrections: -408.9 meV per atom
# space-group type: No. 47
data_Sc2TlCl
_space_group_name_H-M_alt 'P 1'
_space_group_IT_number 1
_space_group_name_Hall 'P 1'
_cell_length_a 3.351
_cell_length_b 4.669
_cell_length_c 5.758
_cell_angle_alpha 90.00
_cell_angle_beta 90.00
_cell_angle_gamma 90.00
loop_
_atom_site_label
_atom_site_type_symbol
_atom_site_fract_x
_atom_site_fract_y
_atom_site_fract_z
Sc1 Sc 0.000 0.000 0.000
Sc2 Sc 0.500 0.000 0.500
Tl1 Tl 0.500 0.500 0.000
Cl1 Cl 0.000 0.500 0.500

***

no.,size of the total moment (μB per cell)
1,0.0
2,0.0